A plane-wave DFT calculation with PBE-GGA was carried out for an optimized crystal structure of FeTc3Se.

Cell and atoms, written as CIF:
```
data_FeTc3Se
_symmetry_space_group_name_H-M 'P m -3 m'
_symmetry_Int_Tables_number 221
_symmetry_space_group_name_Hall '-P 4 2 3'
_cell_length_a 4.4350
_cell_length_b 4.4350
_cell_length_c 4.4350
_cell_angle_alpha 90.00
_cell_angle_beta 90.00
_cell_angle_gamma 90.00
loop_
_atom_site_label
_atom_site_type_symbol
_atom_site_fract_x
_atom_site_fract_y
_atom_site_fract_z
_atom_site_occupancy
Fe1 Fe 0.0000 0.0000 0.0000 1
Tc1 Tc 0.0000 0.0000 0.5000 1
Se1 Se 0.5000 0.5000 0.5000 1
```

Values from the calculation:
The relative energy among the computed polymorphs is 0.0 kJ per mole of atoms. The calculation puts the uncorrected formation energy at 1.347 eV/atom.

A plane-wave DFT calculation with PBE-GGA was carried out for an optimized crystal structure of CuTeRh2.

Cell and atoms, written as CIF:
```
data_CuTeRh2
_symmetry_space_group_name_H-M 'P 4 m m'
_symmetry_Int_Tables_number 99
_symmetry_space_group_name_Hall 'P 4 -2'
_cell_length_a 3.5164
_cell_length_b 3.5164
_cell_length_c 5.3046
_cell_angle_alpha 90.00
_cell_angle_beta 90.00
_cell_angle_gamma 90.00
loop_
_atom_site_label
_atom_site_type_symbol
_atom_site_fract_x
_atom_site_fract_y
_atom_site_fract_z
_atom_site_occupancy
Cu1 Cu 0.0000 0.0000 0.0000 1
Te1 Te 0.5000 0.5000 0.6713 1
Rh1 Rh 0.0000 0.0000 0.4809 1
Rh2 Rh 0.5000 0.5000 0.1664 1
```

Values from the calculation:
The calculation puts the uncorrected formation energy at 0.069 eV/atom.

A plane-wave DFT calculation with PBE-GGA was carried out for an optimized crystal structure of Y8PtSe6.

Cell and atoms, written as CIF:
```
data_Y8PtSe6
_symmetry_space_group_name_H-M 'P -3'
_symmetry_Int_Tables_number 147
_symmetry_space_group_name_Hall '-P 3'
_cell_length_a 10.4414
_cell_length_b 10.4414
_cell_length_c 4.0390
_cell_angle_alpha 90.00
_cell_angle_beta 90.00
_cell_angle_gamma 120.00
loop_
_atom_site_label
_atom_site_type_symbol
_atom_site_fract_x
_atom_site_fract_y
_atom_site_fract_z
_atom_site_occupancy
Y1 Y 0.0295 0.7403 0.2513 1
Y2 Y 0.3333 0.6667 0.7479 1
Pt1 Pt 0.0000 0.0000 0.5000 1
Se1 Se 0.1283 0.4755 0.2487 1
```

Values from the calculation:
The calculation puts the uncorrected formation energy at -1.340 eV/atom.